First-principles (GGA-PBE) data for a relaxed SrCaTlBi crystal, as listed in Alexandria.

Computed properties:
E_form   -0.5783 eV per atom
Excess energy over the best structure of this formula in the dataset   0.000 eV per atom

Unit cell a=5.211 b=5.211 c=9.569 alpha=90.00 beta=90.00 gamma=90.00
Space group I-4m2 (No. 119)
Symmetry-distinct sites (fractional):
Sr (0.000, 0.000, 0.000) [2 per cell]
Ca (0.000, 0.000, 0.500) [2 per cell]
Tl (0.000, 0.500, 0.250) [2 per cell]
Bi (0.000, 0.500, 0.750) [2 per cell]

=====

First-principles (GGA-PBE) data for a relaxed SrCaTlBi crystal, as listed in Alexandria.

Computed properties:
E_form   -0.5688 eV per atom
Excess energy over the best structure of this formula in the dataset   0.009 eV per atom

Unit cell a=8.098 b=8.098 c=8.098 alpha=90.00 beta=90.00 gamma=90.00
Space group F-43m (No. 216)
Symmetry-distinct sites (fractional):
Sr (0.000, 0.000, 0.000) [4 per cell]
Ca (0.000, 0.000, 0.500) [4 per cell]
Tl (0.250, 0.250, 0.250) [4 per cell]
Bi (0.250, 0.250, 0.750) [4 per cell]

=====

First-principles (GGA-PBE) data for a relaxed SrCaZnBi crystal, as listed in Alexandria.

Computed properties:
E_form   -0.5012 eV per atom

Unit cell a=7.923 b=7.923 c=7.923 alpha=90.00 beta=90.00 gamma=90.00
Space group F-43m (No. 216)
Symmetry-distinct sites (fractional):
Sr (0.000, 0.000, 0.000) [4 per cell]
Ca (0.000, 0.000, 0.500) [4 per cell]
Zn (0.250, 0.250, 0.750) [4 per cell]
Bi (0.250, 0.250, 0.250) [4 per cell]

=====

First-principles (GGA-PBE) data for a relaxed CaTaBi3 crystal, as listed in Alexandria.

Computed properties:
E_form   0.2289 eV per atom
Excess energy over the best structure of this formula in the dataset   0.000 eV per atom

Unit cell a=5.563 b=5.563 c=5.563 alpha=90.00 beta=90.00 gamma=90.00
Space group Pm-3m (No. 221)
Symmetry-distinct sites (fractional):
Ca (0.000, 0.000, 0.000) [1 per cell]
Ta (0.500, 0.500, 0.500) [1 per cell]
Bi (0.000, 0.500, 0.500) [3 per cell]

=====

Number 1: total magnetization 0.000 μB/f.u.. Number 2: total magnetization 0.000 μB/f.u.. Number 3: total magnetization 0.000 μB/f.u.. Number 4: total magnetization 0.000 μB/f.u..